## LiZnRe2Os (PBE-GGA)

Data for a relaxed structure of LiZnRe2Os.

a = 4.523 Å, b = 4.523 Å, c = 4.520 Å
α = 90.00°, β = 90.00°, γ = 90.00°
Sites, in units of the cell vectors:
Li  0.000  0.000  0.000
Zn  0.500  0.500  0.500
Re  0.000  0.500  0.500
Re  0.500  0.000  0.500
Os  0.500  0.500  0.000

- space group = No. 123
- volume (Å³ per cell) = 92
- ΔH_f (0 K) (eV/f.u.) = 10.7